YReBr after structural relaxation, computed with PBE.

For the total energy, the calculation gives -6.446 eV per atom. Its total magnetization is 0.846 μB per formula unit. Its space group is Fmm2, No. 42. The offset from the most stable computed form comes out at 28 meV/atom. The mass density is 8.253 g/cm3. For the uncorrected formation energy, the calculation gives 0.416 eV per atom.

Lattice parameters (Å, degrees): 7.708 7.562 3.168 80.63 75.45 23.92
Positions (direct):
Y: 0.000 0.000 0.000
Re: 0.360 0.360 0.640
Br: 0.643 0.643 0.357